Entry 1:
Entry from the Alexandria database: a geometry-optimized PmDy2Ho structure (PBE-GGA).

Unit cell a=5.0406 b=5.0377 c=5.0377 alpha=90.00 beta=90.00 gamma=90.00
Last column: nearest neighbours and their distance in Å.
Fractional positions:
1 Pm 0.5000 0.5000 0.5000  4 Ho 3.56, 8 Dy 3.56
2 Ho 0.5000 0.0000 0.0000  4 Pm 3.56, 8 Dy 3.56
3 Dy 0.0000 0.0000 0.5000  4 Dy 3.56, 4 Ho 3.56, 4 Pm 3.56
4 Dy 0.0000 0.5000 0.0000  4 Dy 3.56, 4 Ho 3.56, 4 Pm 3.56

calculated formation energy	0.02	eV per atom
E	-18.452	eV/cell
SG	P4/mmm
density of states at the Fermi level	5.76	states/eV/cell
V	32.0	Å³ per atom

Entry 2:
Entry from the Alexandria database: a geometry-optimized La2BeBr structure (PBE-GGA).

Unit cell a=6.1061 b=6.1061 c=4.9814 alpha=90.01 beta=90.01 gamma=34.91
Last column: nearest neighbours and their distance in Å.
Fractional positions:
1 Be 0.4965 0.4965 0.6253  5 La 2.91-3.09
2 Br 0.2590 0.2590 0.1249  7 La 3.04-3.33
3 La 0.9978 0.9978 0.1249  3 Br 3.04-3.33, 4 Be 3.09
4 La 0.7467 0.7467 0.6249  1 Be 2.91, 4 Br 3.09-3.10

E	-16.983	eV/cell
SG	Amm2
density of states at the Fermi level	3.07	states/eV/cell
V	26.6	Å³ per atom

Entry 3:
Entry from the Alexandria database: a geometry-optimized Mg2Ag2Pd15 structure (PBE-GGA).

Unit cell a=6.9473 b=6.9473 c=6.9473 alpha=81.54 beta=81.54 gamma=81.54
Last column: nearest neighbours and their distance in Å.
Fractional positions:
1 Mg 0.8885 0.8885 0.8885  6 Pd 2.73-2.79
2 Mg 0.1115 0.1115 0.1115  6 Pd 2.73-2.79
3 Ag 0.6274 0.6274 0.6274  12 Pd 3.05-3.19
4 Ag 0.3726 0.3726 0.3726  12 Pd 3.05-3.19
5 Pd 0.0000 0.5000 0.0000  8 Pd 2.64-2.69, 2 Mg 2.73
6 Pd 0.0000 0.0000 0.5000  8 Pd 2.64-2.69, 2 Mg 2.73
7 Pd 0.5000 0.0000 0.0000  8 Pd 2.64-2.69, 2 Mg 2.73
8 Pd 0.3119 0.0000 0.6881  8 Pd 2.69-2.83
9 Pd 0.6881 0.3119 0.0000  8 Pd 2.69-2.83
10 Pd 0.0000 0.6881 0.3119  8 Pd 2.69-2.83
11 Pd 0.3119 0.6881 0.0000  8 Pd 2.69-2.83
12 Pd 0.0000 0.3119 0.6881  8 Pd 2.69-2.83
13 Pd 0.6881 0.0000 0.3119  8 Pd 2.69-2.83
14 Pd 0.3447 0.8388 0.3447  8 Pd 2.60-2.80, 1 Mg 2.79
15 Pd 0.3447 0.3447 0.8388  8 Pd 2.60-2.80, 1 Mg 2.79
16 Pd 0.8388 0.3447 0.3447  8 Pd 2.60-2.80, 1 Mg 2.79
17 Pd 0.6553 0.1612 0.6553  8 Pd 2.60-2.80, 1 Mg 2.79
18 Pd 0.6553 0.6553 0.1612  8 Pd 2.60-2.80, 1 Mg 2.79
19 Pd 0.1612 0.6553 0.6553  8 Pd 2.60-2.80, 1 Mg 2.79

calculated formation energy	-0.04	eV per atom
E	-87.582	eV/cell
SG	R-3m
density of states at the Fermi level	20.57	states/eV/cell
V	17.1	Å³ per atom

Entry 4:
Entry from the Alexandria database: a geometry-optimized CaPm3Dy4 structure (PBE-GGA).

Unit cell a=6.2434 b=12.4948 c=7.2525 alpha=90.00 beta=90.00 gamma=70.75
Last column: nearest neighbours and their distance in Å.
Fractional positions:
1 Ca 0.9356 0.0000 0.6278  6 Dy 3.62-3.66, 6 Pm 3.64-3.66
2 Ca 0.4356 0.5000 0.3722  6 Dy 3.62-3.66, 6 Pm 3.64-3.66
3 Dy 0.9356 0.0000 0.1264  4 Pm 3.57-3.61, 6 Dy 3.58-3.63, 2 Ca 3.62-3.64
4 Dy 0.4356 0.0000 0.8840  4 Pm 3.49-3.76, 6 Dy 3.52-3.65, 2 Ca 3.63
5 Dy 0.9367 0.7462 0.8813  6 Dy 3.52-3.65, 5 Pm 3.55-3.71, 1 Ca 3.66
6 Dy 0.4345 0.7538 0.1187  6 Dy 3.52-3.65, 5 Pm 3.55-3.71, 1 Ca 3.66
7 Dy 0.9356 0.5000 0.1160  4 Pm 3.49-3.76, 6 Dy 3.52-3.65, 2 Ca 3.63
8 Dy 0.4356 0.5000 0.8736  4 Pm 3.57-3.61, 6 Dy 3.58-3.63, 2 Ca 3.62-3.64
9 Dy 0.4367 0.2462 0.1187  6 Dy 3.52-3.65, 5 Pm 3.55-3.71, 1 Ca 3.66
10 Dy 0.9345 0.2538 0.8813  6 Dy 3.52-3.65, 5 Pm 3.55-3.71, 1 Ca 3.66
11 Pm 0.4356 0.0000 0.3655  6 Dy 3.49-3.76, 4 Pm 3.59-3.64, 2 Ca 3.66
12 Pm 0.9263 0.7493 0.3703  4 Pm 3.54-3.75, 6 Dy 3.55-3.71, 2 Ca 3.64-3.66
13 Pm 0.4448 0.7507 0.6297  4 Pm 3.54-3.75, 6 Dy 3.55-3.71, 2 Ca 3.64-3.66
14 Pm 0.9356 0.5000 0.6345  6 Dy 3.49-3.76, 4 Pm 3.59-3.64, 2 Ca 3.66
15 Pm 0.4263 0.2493 0.6297  4 Pm 3.54-3.75, 6 Dy 3.55-3.71, 2 Ca 3.64-3.66
16 Pm 0.9448 0.2507 0.3703  4 Pm 3.54-3.75, 6 Dy 3.55-3.71, 2 Ca 3.64-3.66

calculated formation energy	0.05	eV per atom
E	-68.541	eV/cell
SG	P2/c
density of states at the Fermi level	20.15	states/eV/cell
V	33.4	Å³ per atom

Entry 5:
Entry from the Alexandria database: a geometry-optimized K2Tl2Cl5 structure (PBE-GGA).

Unit cell a=7.8101 b=7.7393 c=12.1222 alpha=108.62 beta=108.79 gamma=90.00
Last column: nearest neighbours and their distance in Å.
Fractional positions:
1 K 0.1206 0.6320 0.2247  5 Cl 3.11-3.42
2 K 0.8793 0.4073 0.7753  5 Cl 3.11-3.42
3 K 0.6041 0.1320 0.2247  5 Cl 3.11-3.42
4 K 0.3959 0.9073 0.7753  5 Cl 3.11-3.42
5 Tl 0.0000 0.9752 0.0000  6 Cl 2.80-2.85
6 Tl 0.5000 0.4752 0.0000  6 Cl 2.80-2.85
7 Tl 0.2199 0.3063 0.5000  4 Cl 3.00-3.09
8 Tl 0.7801 0.8063 0.5000  4 Cl 3.00-3.09
9 Cl 0.2340 0.7052 0.9409  2 Tl 2.80-2.85
10 Cl 0.7660 0.7643 0.0591  2 Tl 2.80-2.85
11 Cl 0.2069 0.2052 0.9409  2 Tl 2.80-2.85
12 Cl 0.7931 0.2643 0.0591  2 Tl 2.80-2.85
13 Cl 0.2307 0.0476 0.2492  2 Tl 2.85-3.09, 1 K 3.11
14 Cl 0.7693 0.7984 0.7508  2 Tl 2.85-3.09, 1 K 3.11
15 Cl 0.5185 0.5476 0.2492  2 Tl 2.85-3.09, 1 K 3.11
16 Cl 0.4815 0.2984 0.7508  2 Tl 2.85-3.09, 1 K 3.11
17 Cl 0.1501 0.6998 0.5000  2 Tl 3.00-3.09, 2 K 3.14
18 Cl 0.8499 0.1998 0.5000  2 Tl 3.00-3.09, 2 K 3.14

E	-56.081	eV/cell
SG	Ima2
density of states at the Fermi level	4.55	states/eV/cell
V	36.3	Å³ per atom

Entry 6:
Entry from the Alexandria database: a geometry-optimized TbCuRh structure (PBE-GGA).

Unit cell a=4.2043 b=5.2950 c=5.3717 alpha=90.00 beta=90.00 gamma=113.39
Last column: nearest neighbours and their distance in Å.
Fractional positions:
1 Tb 0.2011 0.4022 0.7500  5 Rh 2.85-2.91, 4 Cu 3.17
2 Tb 0.7989 0.5978 0.2500  5 Rh 2.85-2.91, 4 Cu 3.17
3 Cu 0.5000 0.0000 0.5000  4 Rh 2.65, 2 Cu 2.69
4 Cu 0.5000 0.0000 0.0000  4 Rh 2.65, 2 Cu 2.69
5 Rh 0.0922 0.1844 0.2500  4 Cu 2.65, 5 Tb 2.85-2.91
6 Rh 0.9078 0.8156 0.7500  4 Cu 2.65, 5 Tb 2.85-2.91

calculated formation energy	-0.55	eV per atom
E	-35.467	eV/cell
SG	Cmcm
density of states at the Fermi level	2.68	states/eV/cell
V	18.3	Å³ per atom

Entry 7:
Entry from the Alexandria database: a geometry-optimized Na2SrNpF8 structure (PBE-GGA).

Unit cell a=3.9949 b=5.6806 c=8.0129 alpha=90.00 beta=90.00 gamma=89.78
Last column: nearest neighbours and their distance in Å.
Fractional positions:
1 Na 0.5000 0.5000 0.7291  6 F 2.32-2.54
2 Na 0.5000 0.5000 0.2709  6 F 2.32-2.54
3 Sr 0.0000 0.0000 0.5000  8 F 2.45-2.61
4 Np 0.0000 0.0000 0.0000  8 F 2.22-2.36
5 F 0.0018 0.7632 0.2206  1 Np 2.22
6 F 0.5016 0.7804 0.0000  2 Np 2.35-2.36, 1 F 2.49
7 F 0.9982 0.2368 0.2205  1 Np 2.22
8 F 0.9982 0.2368 0.7794  1 Np 2.22
9 F 0.4984 0.2196 0.0000  2 Np 2.35-2.36, 1 F 2.49
10 F 0.0018 0.7632 0.7795  1 Np 2.22
11 F 0.5018 0.7498 0.5000  2 Na 2.32, 2 Sr 2.45
12 F 0.4982 0.2502 0.5000  2 Na 2.32, 2 Sr 2.45

E	-72.742	eV/cell
SG	P2/m
density of states at the Fermi level	1.91	states/eV/cell
V	15.2	Å³ per atom

Entry 8:
Entry from the Alexandria database: a geometry-optimized Cd2CuPtAu8 structure (PBE-GGA).

Unit cell a=7.3900 b=7.3900 c=7.3900 alpha=115.33 beta=115.33 gamma=98.30
Last column: nearest neighbours and their distance in Å.
Fractional positions:
1 Cd 0.7500 0.2500 0.5000  4 Au 2.77
2 Cd 0.5000 0.5000 0.0000  4 Au 2.76
3 Cu 0.2500 0.7500 0.5000  8 Au 2.58-2.73
4 Pt 0.0000 0.0000 0.0000  8 Au 2.64-2.80
5 Au 0.3319 0.9980 0.3339  2 Au 2.63-2.74, 1 Pt 2.64, 1 Cu 2.73, 1 Cd 2.77
6 Au 0.2527 0.4259 0.1732  1 Cu 2.58, 2 Au 2.74, 1 Cd 2.76, 1 Pt 2.80
7 Au 0.2527 0.0795 0.8268  1 Cu 2.58, 2 Au 2.74, 1 Cd 2.76, 1 Pt 2.80
8 Au 0.6641 0.9980 0.6661  2 Au 2.63-2.74, 1 Pt 2.64, 1 Cu 2.73, 1 Cd 2.77
9 Au 0.9205 0.7473 0.1732  1 Cu 2.58, 2 Au 2.74, 1 Cd 2.76, 1 Pt 2.80
10 Au 0.0020 0.3359 0.3339  2 Au 2.63-2.74, 1 Pt 2.64, 1 Cu 2.73, 1 Cd 2.77
11 Au 0.0020 0.6681 0.6661  2 Au 2.63-2.74, 1 Pt 2.64, 1 Cu 2.73, 1 Cd 2.77
12 Au 0.5741 0.7473 0.8268  1 Cu 2.58, 2 Au 2.74, 1 Cd 2.76, 1 Pt 2.80

calculated formation energy	0.27	eV per atom
E	-34.944	eV/cell
SG	I-4m2
density of states at the Fermi level	5.42	states/eV/cell
V	25.2	Å³ per atom